(1)
First-principles (PBE-GGA) data for a geometry-optimized MgTaBr2 structure, as listed in Alexandria via LeMat-Bulk.

Cell and atoms, written as extended XYZ:
```
4
Lattice="1.5747 -3.0184 0.0000 1.5747 3.0184 0.0000 0.0000 0.0000 10.5949" Properties=species:S:1:pos:R:3 pbc="T T T"
Mg 0.0000 0.0000 0.0000
Ta 0.0000 0.0000 5.2975
Br 1.5747 0.0000 3.1621
Br 1.5747 0.0000 7.4328
```

Results
space group	No. 65
formation energy from raw total energies	6	kJ/mol of formula units
final energy	-16.73	eV for the cell shown

***

(2)
First-principles (PBE-GGA) data for a geometry-optimized MgTaBr2 structure, as listed in Alexandria via LeMat-Bulk.

Cell and atoms, written as extended XYZ:
```
4
Lattice="3.2616 0.0000 0.0000 0.0000 4.5613 0.0000 -0.2901 0.0000 5.8687" Properties=species:S:1:pos:R:3 pbc="T T T"
Mg 0.0000 0.0000 0.0000
Ta 1.4858 0.0000 2.9343
Br 1.0277 2.2806 1.5251
Br 1.9438 2.2806 4.3436
```

Results
space group	No. 10
formation energy from raw total energies	42	kJ/mol of formula units
final energy	-16.36	eV for the cell shown

***

(3)
First-principles (PBE-GGA) data for a geometry-optimized MgTaBr structure, as listed in Alexandria via LeMat-Bulk.

Cell and atoms, written as extended XYZ:
```
3
Lattice="0.0000 3.4373 3.4373 3.4373 0.0000 3.4373 3.4373 3.4373 0.0000" Properties=species:S:1:pos:R:3 pbc="T T T"
Mg 0.0000 0.0000 0.0000
Ta 1.7186 1.7186 1.7186
Br 3.4373 3.4373 3.4373
```

Results
space group	No. 216
formation energy from raw total energies	366	kJ/mol of formula units
final energy	-11.33	eV for the cell shown

***

(4)
First-principles (PBE-GGA) data for a geometry-optimized MgTaBr2 structure, as listed in Alexandria via LeMat-Bulk.

Cell and atoms, written as extended XYZ:
```
4
Lattice="1.6940 0.9780 9.7477 -1.6940 0.9780 9.7477 0.0000 -1.9561 9.7477" Properties=species:S:1:pos:R:3 pbc="T T T"
Mg 0.0000 0.0000 0.0000
Ta 0.0000 0.0000 7.3342
Br 0.0000 0.0000 15.2830
Br 0.0000 0.0000 21.2355
```

Results
space group	No. 160
formation energy from raw total energies	-152	kJ/mol of formula units
final energy	-18.37	eV for the cell shown

***

(5)
First-principles (PBE-GGA) data for a geometry-optimized Mg2TaBr structure, as listed in Alexandria via LeMat-Bulk.

Cell and atoms, written as extended XYZ:
```
4
Lattice="-2.0548 2.0548 4.8953 2.0548 -2.0548 4.8953 2.0548 2.0548 -4.8953" Properties=species:S:1:pos:R:3 pbc="T T T"
Mg 2.0548 0.0000 2.4476
Mg 0.0000 2.0548 2.4476
Ta 0.0000 0.0000 0.0000
Br 0.0000 0.0000 4.8953
```

Results
space group	No. 139
formation energy from raw total energies	249	kJ/mol of formula units
final energy	-14.13	eV for the cell shown

***

(6)
First-principles (PBE-GGA) data for a geometry-optimized MgTa3Br structure, as listed in Alexandria via LeMat-Bulk.

Cell and atoms, written as extended XYZ:
```
5
Lattice="4.8504 0.0000 0.0000 0.0000 4.8504 0.0000 0.0000 0.0000 4.8504" Properties=species:S:1:pos:R:3 pbc="T T T"
Mg 0.0000 0.0000 0.0000
Ta 0.0000 0.0000 2.4252
Ta 0.0000 2.4252 0.0000
Ta 2.4252 0.0000 0.0000
Br 2.4252 2.4252 2.4252
```

Results
space group	No. 221
formation energy from raw total energies	1055	kJ/mol of formula units
final energy	-27.89	eV for the cell shown

***

(7)
First-principles (PBE-GGA) data for a geometry-optimized MgTaBr structure, as listed in Alexandria via LeMat-Bulk.

Cell and atoms, written as extended XYZ:
```
3
Lattice="3.2349 0.0000 0.0000 -1.6174 2.8015 0.0000 0.0000 0.0000 7.7873" Properties=species:S:1:pos:R:3 pbc="T T T"
Mg 0.0000 0.0000 0.0000
Ta 1.6174 0.9338 2.2815
Br 0.0000 1.8677 4.1455
```

Results
space group	No. 156
formation energy from raw total energies	4	kJ/mol of formula units
final energy	-15.08	eV for the cell shown

***

(8)
First-principles (PBE-GGA) data for a geometry-optimized MgTa2Br structure, as listed in Alexandria via LeMat-Bulk.

Cell and atoms, written as extended XYZ:
```
4
Lattice="-1.9717 1.9717 5.1827 1.9717 -1.9717 5.1827 1.9717 1.9717 -5.1827" Properties=species:S:1:pos:R:3 pbc="T T T"
Mg 0.0000 0.0000 0.0000
Ta 1.9717 0.0000 2.5914
Ta 0.0000 1.9717 2.5914
Br 0.0000 0.0000 5.1827
```

Results
space group	No. 139
formation energy from raw total energies	285	kJ/mol of formula units
final energy	-24.02	eV for the cell shown

***

(9)
First-principles (PBE-GGA) data for a geometry-optimized Mg2TaBr structure, as listed in Alexandria via LeMat-Bulk.

Cell and atoms, written as extended XYZ:
```
4
Lattice="5.5786 -1.5505 0.0000 5.5786 1.5505 0.0000 -1.7341 0.0000 5.1412" Properties=species:S:1:pos:R:3 pbc="T T T"
Mg 0.0000 0.0000 0.0000
Mg 1.2007 0.0000 3.2446
Ta 8.0705 0.0000 0.6493
Br 3.9091 0.0000 2.2646
```

Results
space group	No. 8
formation energy from raw total energies	86	kJ/mol of formula units
final energy	-15.82	eV for the cell shown

***

(10)
First-principles (PBE-GGA) data for a geometry-optimized MgTa2Br structure, as listed in Alexandria via LeMat-Bulk.

Cell and atoms, written as extended XYZ:
```
4
Lattice="1.7719 -2.5339 0.0000 1.7719 2.5339 0.0000 0.0000 0.0000 9.2471" Properties=species:S:1:pos:R:3 pbc="T T T"
Mg 0.0000 0.0000 0.0000
Ta 0.0000 0.0000 4.8846
Ta 1.7719 0.0000 6.9351
Br 1.7719 0.0000 2.7032
```

Results
space group	No. 35
formation energy from raw total energies	53	kJ/mol of formula units
final energy	-26.43	eV for the cell shown

***

(11)
First-principles (PBE-GGA) data for a geometry-optimized MgTaBr2 structure, as listed in Alexandria via LeMat-Bulk.

Cell and atoms, written as extended XYZ:
```
4
Lattice="1.9185 -2.6026 0.0000 1.9185 2.6026 0.0000 0.0000 0.0000 9.7275" Properties=species:S:1:pos:R:3 pbc="T T T"
Mg 0.0000 0.0000 0.0000
Ta 1.9185 0.0000 7.3949
Br 0.0000 0.0000 5.5369
Br 1.9185 0.0000 1.7149
```

Results
space group	No. 35
formation energy from raw total energies	-75	kJ/mol of formula units
final energy	-17.57	eV for the cell shown

***

(12)
First-principles (PBE-GGA) data for a geometry-optimized Mg2TaBr structure, as listed in Alexandria via LeMat-Bulk.

Cell and atoms, written as extended XYZ:
```
4
Lattice="0.0000 3.5839 3.5839 3.5839 0.0000 3.5839 3.5839 3.5839 0.0000" Properties=species:S:1:pos:R:3 pbc="T T T"
Mg 1.7919 1.7919 1.7919
Mg 5.3758 5.3758 5.3758
Ta 0.0000 0.0000 0.0000
Br 3.5839 3.5839 3.5839
```

Results
space group	No. 225
formation energy from raw total energies	335	kJ/mol of formula units
final energy	-13.24	eV for the cell shown